Here is a geometry-optimized LuAuNO structure from OQMD. Energies are from PBE.

a b c (Å): 7.0094 6.9361 4.7837
angles (deg): 90.00 90.00 90.00
Last column: nearest neighbours and their distance in Å.
Space group Pca2_1 (No. 29)
One atom of each set of equivalent atoms:
Lu (0.0840, 0.1526, 0.0000) (multiplicity 4)  1 O 2.15, 3 N 2.24-2.40
Au (0.1433, 0.7059, 0.9959) (multiplicity 4)  1 N 2.08, 1 O 2.09
N (0.0984, 0.1206, 0.5014) (multiplicity 4)  1 Au 2.08, 2 Lu 2.24-2.29
O (0.0827, 0.5871, 0.4882) (multiplicity 4)  1 Au 2.09, 1 Lu 2.15

Magnetization ... 0.00 μB per cell
Energy relative to the lowest polymorph listed for this composition ... 16.8 kJ per mole of atoms